No. 1
This record from Alexandria via LeMat-Bulk describes a geometry-optimized TcCl structure. The functional is PBE-GGA.

Summary:
For the calculated volume, the calculation gives 17.694 Å³/atom. For the density of states at the Fermi level, the calculation gives 10.9 states/eV per cell. The calculation puts the formation energy without anion corrections at 47.7 kJ/mol of atoms. For the offset from the most stable computed form, the calculation gives 621 meV/atom.

Cell lengths 2.9710, 9.3799, 7.6193 Å; angles 90.00, 90.00, 90.00 degrees
Last column: nearest neighbours and their distance in Å.
Space group Pmmn (No. 59, origin choice 2)
Inequivalent atoms, fractional coordinates:
1 Tc 0.2500 0.0999 0.0543 (multiplicity 4)  3 Cl 2.44-2.47, 2 Tc 2.53
2 Tc 0.2500 0.7500 0.4693 (multiplicity 2)  4 Cl 2.28-2.49
3 Cl 0.2500 0.2500 0.7928 (multiplicity 2)  4 Tc 2.44-2.49
4 Cl 0.2500 0.5838 0.6870 (multiplicity 4)  3 Tc 2.28-2.47

***

No. 2
This record from Alexandria via LeMat-Bulk describes a geometry-optimized CaPm4Nd6 structure. The functional is PBE-GGA.

Summary:
For the calculated volume, the calculation gives 36.344 Å³/atom. The value obtained for the formation energy is 0.31 eV per atom. For the density of states at the Fermi level, the calculation gives 35.3 states/eV per cell.

Cell lengths 6.6961, 6.6961, 17.8329 Å; angles 90.00, 90.00, 90.00 degrees
Last column: nearest neighbours and their distance in Å.
Space group I-42m (No. 121)
Inequivalent atoms, fractional coordinates:
1 Ca 0.0000 0.0000 0.0000 (multiplicity 2)  4 Nd 3.35, 4 Pm 3.66
2 Pm 0.1863 0.1863 0.8200 (multiplicity 8)  5 Nd 3.39-3.68, 1 Pm 3.53, 1 Ca 3.66
3 Nd 0.0000 0.5000 0.0000 (multiplicity 4)  2 Ca 3.35, 4 Nd 3.39
4 Nd 0.1724 0.1724 0.6300 (multiplicity 8)  3 Nd 3.26-3.39, 3 Pm 3.39-3.51

***

No. 3
This record from Alexandria via LeMat-Bulk describes a geometry-optimized Re2RuPt structure. The functional is PBE-GGA.

Summary:
For the calculated volume, the calculation gives 14.682 Å³/atom. The value obtained for the formation energy is -0.13 eV per atom. For the density of states at the Fermi level, the calculation gives 2.4 states/eV per cell. For the offset from the most stable computed form, the calculation gives 0 meV/atom.

Cell lengths 2.7487, 4.4046, 4.8508 Å; angles 90.00, 90.00, 90.00 degrees
Last column: nearest neighbours and their distance in Å.
Space group Pmm2 (No. 25)
Inequivalent atoms, fractional coordinates:
1 Re 0.0000 0.0000 0.0000 (multiplicity 1)  4 Re 2.69-2.75, 4 Ru 2.72, 4 Pt 2.78-2.79
2 Re 0.0000 0.5000 0.3195 (multiplicity 1)  4 Re 2.69-2.75, 4 Pt 2.74, 4 Ru 2.74-2.83
3 Ru 0.5000 0.5000 0.8302 (multiplicity 1)  8 Re 2.72-2.83, 2 Pt 2.73, 2 Ru 2.75
4 Pt 0.5000 0.0000 0.4986 (multiplicity 1)  2 Ru 2.73, 8 Re 2.74-2.79, 2 Pt 2.75

***

No. 4
This record from Alexandria via LeMat-Bulk describes a geometry-optimized Cs3Tl4Cd2 structure. The functional is PBE-GGA.

Summary:
For the calculated volume, the calculation gives 44.436 Å³/atom. The value obtained for the formation energy is -0.07 eV per atom. For the density of states at the Fermi level, the calculation gives 2.9 states/eV per cell.

Cell lengths 5.2484, 7.6781, 11.3009 Å; angles 109.57, 90.07, 109.94 degrees
Last column: nearest neighbours and their distance in Å.
Space group P-1 (No. 2)
Inequivalent atoms, fractional coordinates:
1 Cs 0.0000 0.0000 0.0000 (multiplicity 1)  6 Tl 4.01-4.36, 2 Cd 4.40
2 Cs 0.3840 0.7664 0.6313 (multiplicity 2)  2 Cd 4.01-4.33, 6 Tl 4.02-4.12
3 Tl 0.0982 0.1982 0.6294 (multiplicity 2)  2 Cd 3.09, 2 Tl 3.28-3.39
4 Tl 0.2763 0.5514 0.9234 (multiplicity 2)  3 Cd 3.16-3.26, 3 Tl 3.36-3.39
5 Cd 0.3194 0.6388 0.2267 (multiplicity 2)  5 Tl 3.09-3.26